VASP calculation (meta-GGA SCAN) on a crystal of ZnTe2Pb relaxed with PBEsol.

Geometry as POSCAR:
```
ZnTe2Pb
1.0
-1.890 2.612 5.504
1.890 -2.612 5.504
1.890 2.612 -5.504
Zn Te Pb
1 2 1
Direct
0.000 0.000 0.000
0.178 0.678 0.500
0.822 0.322 0.500
0.500 0.500 0.000
```

Values from the calculation:
* space-group type: Immm (71)
* formation energy without anion corrections: -0.01 eV per atom
* uncorrected energy: -163.84 eV for the cell shown
* D(E_F): 1.67 states/eV/f.u.
* ΔE to the lowest computed polymorph: 226 meV/atom

VASP calculation (meta-GGA SCAN) on a crystal of ZrTePb2 relaxed with PBEsol.

Geometry as POSCAR:
```
ZrTePb2
1.0
3.565 0.000 0.000
0.000 5.191 0.000
0.000 0.000 5.558
Zr Te Pb
1 1 2
Direct
0.000 0.000 0.000
0.500 0.500 0.000
0.000 0.500 0.500
0.500 0.000 0.500
```

Values from the calculation:
* space-group type: Pmmm (47)
* formation energy without anion corrections: -0.06 eV per atom
* uncorrected energy: -219.77 eV for the cell shown
* D(E_F): 2.87 states/eV/f.u.

VASP calculation (meta-GGA SCAN) on a crystal of ZrTe4Pb relaxed with PBEsol.

Geometry as POSCAR:
```
ZrTe4Pb
1.0
0.000 4.369 4.369
4.369 0.000 4.369
4.369 4.369 0.000
Zr Te Pb
1 4 1
Direct
0.000 0.000 0.000
0.123 0.626 0.626
0.626 0.123 0.626
0.626 0.626 0.123
0.626 0.626 0.626
0.250 0.250 0.250
```

Values from the calculation:
* space-group type: F-43m (216)
* formation energy without anion corrections: 0.51 eV per atom
* uncorrected energy: -252.45 eV for the cell shown
* D(E_F): 4.70 states/eV/f.u.

VASP calculation (meta-GGA SCAN) on a crystal of ZrTePb relaxed with PBEsol.

Geometry as POSCAR:
```
ZrTePb
1.0
3.617 0.000 0.000
-1.808 3.132 0.000
0.000 0.000 6.924
Zr Te Pb
1 1 1
Direct
0.000 0.000 0.000
0.667 0.333 0.275
0.333 0.667 0.666
```

Values from the calculation:
* space-group type: P3m1 (156)
* formation energy without anion corrections: -0.41 eV per atom
* uncorrected energy: -144.96 eV for the cell shown
* D(E_F): 1.51 states/eV/f.u.

VASP calculation (meta-GGA SCAN) on a crystal of Zr4TePb relaxed with PBEsol.

Geometry as POSCAR:
```
Zr4TePb
1.0
0.000 4.096 4.096
4.096 0.000 4.096
4.096 4.096 0.000
Zr Te Pb
4 1 1
Direct
0.376 0.376 0.376
0.376 0.376 0.873
0.376 0.873 0.376
0.873 0.376 0.376
0.000 0.000 0.000
0.750 0.750 0.750
```

Values from the calculation:
* space-group type: F-43m (216)
* formation energy without anion corrections: 0.02 eV per atom
* uncorrected energy: -235.72 eV for the cell shown
* D(E_F): 3.55 states/eV/f.u.

VASP calculation (meta-GGA SCAN) on a crystal of Th3Pb relaxed with PBEsol.

Geometry as POSCAR:
```
Th3Pb
1.0
4.902 0.000 0.000
0.000 4.902 0.000
0.000 0.000 4.902
Th Pb
3 1
Direct
0.000 0.000 0.500
0.000 0.500 0.000
0.500 0.000 0.000
0.500 0.500 0.500
```

Values from the calculation:
* space-group type: Pm-3m (221)
* uncorrected energy: -364.53 eV for the cell shown
* D(E_F): 4.38 states/eV/f.u.